Entry from the Alexandria database: a geometry-optimized NaLi4In3 structure (PBE-GGA).

```
8
Lattice="4.799 0.000 -1.295 -0.344 4.792 -1.275 -0.574 -0.644 7.409" Properties=species:S:1:pos:R:3 pbc="T T T"
Na 2.399 0.000 -0.648
In -0.172 2.396 -0.638
In 3.252 0.904 2.509
In 0.629 3.243 2.329
Li 1.229 1.304 4.554
Li 2.651 2.843 0.285
Li 0.424 0.446 1.570
Li 3.456 3.702 3.268
```

DFT formation energy: -1.83 eV/f.u.



Entry from the Alexandria database: a geometry-optimized Ta2CrAs structure (PBE-GGA).

```
4
Lattice="-2.289 0.196 -2.412 1.619 -2.344 -1.727 -3.172 -4.158 2.671" Properties=species:S:1:pos:R:3 pbc="T T T"
As -1.583 -2.076 1.333
Cr -2.715 -4.195 -0.065
Ta -3.119 -4.089 2.627
Ta -1.181 -2.183 -1.357
```

DFT formation energy: -0.15 eV/f.u.



Entry from the Alexandria database: a geometry-optimized Th3Ta5Te12 structure (PBE-GGA).

```
80
Lattice="-10.541 -0.568 10.628 13.540 0.192 6.402 -1.828 12.410 -8.187" Properties=species:S:1:pos:R:3 pbc="T T T"
Th -3.056 1.197 9.348
Th 0.704 1.198 13.078
Th 5.060 7.687 3.670
Th -1.628 4.536 0.387
Th -7.987 2.629 8.053
Th 4.053 3.009 5.940
Th -2.881 9.024 2.903
Th 9.159 9.404 0.790
Th 2.800 7.498 8.456
Th -3.888 4.346 5.173
Th 0.468 10.836 -4.235
Th 4.228 10.836 -0.505
Ta 3.303 3.103 1.683
Ta 6.770 0.096 3.201
Ta 0.000 0.000 0.000
Ta -0.796 1.386 4.563
Ta -6.184 5.921 1.220
Ta 1.500 -0.188 8.515
Ta 8.152 4.726 3.060
Ta -7.812 10.456 1.607
Ta -0.128 4.347 8.902
Ta -3.631 9.118 -1.355
Ta 4.803 2.915 10.198
Ta 0.586 6.017 4.422
Ta -5.270 -0.284 5.314
Ta -0.914 6.205 -4.093
Ta 1.300 7.686 -0.059
Ta 8.984 1.577 7.236
Ta 5.856 6.301 -0.892
Ta -6.980 7.307 5.783
Ta 1.968 10.647 4.280
Ta -2.131 8.930 7.160
Te -5.963 0.067 8.040
Te 3.087 5.093 3.458
Te -5.529 3.092 10.328
Te -2.991 1.216 6.083
Te 2.158 8.194 5.330
Te -2.587 1.754 12.532
Te 6.508 5.013 5.151
Te 11.183 1.606 5.711
Te 5.668 8.248 6.830
Te 0.201 1.898 9.928
Te -2.715 4.367 8.221
Te 3.669 0.157 14.327
Te 7.412 6.723 1.440
Te 1.461 1.022 5.952
Te 10.736 4.848 3.745
Te -3.738 7.028 0.311
Te 1.016 2.619 0.381
Te 4.118 0.897 8.580
Te 3.070 3.272 12.204
Te 4.097 1.041 3.191
Te 7.598 9.740 3.771
Te 1.496 4.834 6.832
Te 0.506 6.291 10.628
Te -5.576 10.866 3.017
Te -0.324 7.200 2.011
Te 0.665 5.743 -1.785
Te 6.748 1.167 5.826
Te -1.898 8.761 -3.361
Te -6.426 2.293 5.072
Te -2.926 10.992 5.652
Te -2.946 11.136 0.263
Te 4.909 5.006 8.532
Te 0.156 9.414 8.462
Te -9.564 7.185 5.098
Te -6.240 5.311 7.403
Te -2.497 11.877 -5.484
Te -0.289 11.011 2.891
Te -4.496 3.785 2.013
Te 0.971 10.135 -1.085
Te 3.887 7.667 0.622
Te -10.011 10.427 3.132
Te -5.336 7.020 3.692
Te 4.163 10.818 2.760
Te 3.759 10.280 -3.689
Te -0.986 3.839 3.513
Te 6.701 8.941 -1.485
Te -1.915 6.940 5.385
Te 7.135 11.967 0.803
```

formation energy (no corrections): -0.1639 eV/atom



Entry from the Alexandria database: a geometry-optimized InBiSeBr2 structure (PBE-GGA).

```
5
Lattice="-1.942 -2.841 4.602 1.439 -4.985 -2.469 5.129 0.313 2.357" Properties=species:S:1:pos:R:3 pbc="T T T"
Se 2.564 0.157 1.179
Bi 0.000 0.000 0.000
Br 0.720 -2.493 -1.235
Br -0.971 -1.420 2.301
In 2.313 -3.756 2.245
```

formation energy (no corrections): -0.3514 eV/atom
distance to the lowest polymorph of the same formula: 0 meV/atom



Entry from the Alexandria database: a geometry-optimized Na3LiPd structure (PBE-GGA).

```
5
Lattice="5.476 0.000 0.000 0.000 5.476 0.000 0.000 0.000 5.476" Properties=species:S:1:pos:R:3 pbc="T T T"
Na 0.000 2.738 0.000
Na 0.000 0.000 2.738
Na 2.738 0.000 0.000
Pd 0.000 0.000 0.000
Li 2.738 2.738 2.738
```

distance to the lowest polymorph of the same formula: 0 meV/atom
DFT formation energy: 0.73 eV/f.u.



Entry from the Alexandria database: a geometry-optimized LiTa2Cr structure (PBE-GGA).

```
4
Lattice="-1.456 1.623 3.914 -4.398 0.318 0.797 -1.940 -2.731 2.975" Properties=species:S:1:pos:R:3 pbc="T T T"
Cr -3.897 -0.395 3.843
Li -5.845 -0.592 5.765
Ta 0.000 0.000 0.000
Ta -1.948 -0.197 1.922
```

distance to the lowest polymorph of the same formula: 229 meV/atom
DFT formation energy: 1.90 eV/f.u.



Entry from the Alexandria database: a geometry-optimized RbGaFeCl6 structure (PBE-GGA).

```
9
Lattice="6.406 0.000 -0.002 3.203 5.547 0.002 -0.003 0.005 7.361" Properties=species:S:1:pos:R:3 pbc="T T T"
Rb -0.003 0.006 7.361
Ga 3.203 1.853 3.681
Fe 6.409 3.704 3.680
Cl 1.235 2.069 2.299
Cl 2.406 0.040 5.062
Cl 5.161 2.084 5.071
Cl 2.026 3.444 5.067
Cl 4.382 3.433 2.290
Cl 3.992 0.038 2.295
```

formation energy (no corrections): -1.1578 eV/atom



Entry from the Alexandria database: a geometry-optimized Ho5Zr3H12 structure (PBE-GGA).

```
80
Lattice="-10.405 2.606 -1.609 0.654 -7.792 7.516 5.438 8.753 3.384" Properties=species:S:1:pos:R:3 pbc="T T T"
Zr -6.878 0.127 2.035
Zr -7.934 -2.469 4.652
Zr -0.012 0.604 7.149
Zr -0.480 2.960 1.806
Zr -7.663 3.495 0.377
Zr -2.133 -1.705 4.940
Zr -2.179 5.272 4.351
Zr 3.351 0.072 8.913
Zr -3.832 0.607 7.485
Zr -4.300 2.963 2.142
Zr 3.621 6.037 4.639
Zr 2.566 3.440 7.256
Ho 0.304 -0.408 3.463
Ho 0.327 -3.896 3.758
Ho 0.000 0.000 0.000
Ho -3.058 0.123 1.699
Ho -2.483 5.680 0.887
Ho -4.875 -2.593 2.953
Ho 1.229 -2.236 6.705
Ho -2.963 8.640 2.694
Ho -5.355 0.367 4.760
Ho 0.259 6.568 2.874
Ho -4.571 -3.001 6.417
Ho -2.156 1.784 4.645
Ho -5.202 1.303 -0.805
Ho 2.719 4.377 1.692
Ho 1.043 3.200 4.531
Ho -1.349 -5.073 6.597
Ho 3.046 0.480 5.450
Ho -5.542 5.803 2.586
Ho -1.254 3.444 7.592
Ho -4.617 3.975 5.827
H -7.086 1.316 0.288
H -0.955 0.046 5.178
H -7.930 2.121 1.974
H -4.966 1.109 1.352
H -1.892 1.524 6.792
H -8.390 -0.792 3.433
H -0.749 -1.332 6.681
H 0.599 -5.618 7.396
H -1.919 0.056 8.222
H -6.388 -1.181 3.633
H -5.880 1.669 3.099
H -7.781 -4.265 5.775
H 1.938 -0.236 7.183
H -2.877 -1.737 2.811
H 1.714 -3.978 7.914
H -1.187 4.988 2.495
H 0.627 0.995 1.833
H -3.523 -3.255 4.528
H -6.720 -2.687 6.540
H -0.929 -2.188 3.260
H 1.257 0.416 9.003
H -3.315 0.139 5.479
H -5.837 0.841 6.827
H -2.721 7.456 4.502
H -0.997 3.428 3.812
H 1.525 2.726 2.464
H -1.592 -3.889 4.789
H 2.408 6.254 2.751
H -5.569 3.151 0.288
H -3.383 5.755 6.031
H -0.789 6.823 4.763
H -3.125 -1.421 6.796
H -4.939 2.572 7.458
H -6.027 7.545 1.377
H -6.250 3.803 2.108
H 3.469 7.832 3.516
H -1.435 5.304 6.479
H -2.393 3.511 1.069
H 2.076 4.748 5.657
H 1.568 1.898 6.192
H -4.911 9.185 1.895
H -3.564 4.899 2.610
H 0.654 2.458 7.939
H 4.078 4.359 5.858
H -2.420 2.043 2.499
H 3.618 1.446 7.317
H -3.357 3.521 4.113
H 2.774 2.251 9.003
```

DFT total energy: -0.3571 Ry/atom



Entry from the Alexandria database: a geometry-optimized TeAs2 structure (PBE-GGA).

```
12
Lattice="-5.558 -7.992 -19.536 -5.233 -12.599 -17.038 2.858 10.469 18.938" Properties=species:S:1:pos:R:3 pbc="T T T"
As -7.987 -15.241 -27.072
As -2.804 -5.350 -9.503
As -6.640 -8.855 -18.227
As -1.456 1.036 -0.658
As -6.463 -12.332 -21.904
As -4.328 -8.260 -14.671
As -5.115 -5.945 -13.059
As -2.981 -1.873 -5.826
Te -10.022 -19.123 -33.966
Te -0.770 -1.468 -2.608
Te -3.116 -4.744 -5.586
Te -4.655 -7.681 -10.802
```

formation energy (no corrections): 0.2866 eV/atom



Entry from the Alexandria database: a geometry-optimized Li2AlMo structure (PBE-GGA).

```
4
Lattice="4.409 -0.049 0.000 0.070 4.409 0.000 -2.240 -2.180 3.110" Properties=species:S:1:pos:R:3 pbc="T T T"
Al 2.204 -0.025 1.555
Li 0.000 0.000 0.000
Li 0.035 2.204 1.555
Mo 2.240 2.180 0.000
```

DFT formation energy: 1.14 eV/f.u.



Entry from the Alexandria database: a geometry-optimized Sr2ZrP3Pt12 structure (PBE-GGA).

```
18
Lattice="7.879 -0.211 -0.149 3.708 6.955 -0.149 3.708 2.158 6.613" Properties=species:S:1:pos:R:3 pbc="T T T"
Sr 9.221 5.367 3.807
Sr 6.074 3.536 2.508
Zr 0.000 0.000 0.000
P 3.939 -0.105 -0.075
P 1.854 3.478 -0.075
P 1.854 1.079 3.307
Pt 7.250 4.220 5.878
Pt 11.548 6.722 2.298
Pt 9.521 7.873 5.584
Pt 9.618 2.876 2.040
Pt 11.548 4.391 5.584
Pt 7.250 6.943 2.040
Pt 8.045 4.683 0.437
Pt 3.747 2.181 4.016
Pt 5.774 1.030 0.731
Pt 5.677 6.027 4.275
Pt 3.747 4.512 0.731
Pt 8.045 1.960 4.275
```

DFT formation energy: -7.27 eV/f.u.



Entry from the Alexandria database: a geometry-optimized Ho2Cu15Rh2 structure (PBE-GGA).

```
19
Lattice="-4.684 -1.438 4.218 -4.328 -2.028 -4.353 1.346 -6.305 0.490" Properties=species:S:1:pos:R:3 pbc="T T T"
Ho -2.549 -3.248 0.118
Ho -5.118 -6.523 0.236
Cu -2.342 -0.719 2.109
Cu 0.673 -3.152 0.245
Cu -2.164 -1.014 -2.177
Cu -2.659 -3.286 -2.929
Cu -4.580 -1.612 1.696
Cu -0.428 -4.873 1.586
Cu -4.433 -1.855 -1.832
Cu -2.910 -2.870 3.121
Cu -0.324 -5.047 -0.935
Cu -2.653 -5.620 -1.854
Cu -5.631 -3.216 -0.013
Cu -2.829 -5.328 2.380
Cu -5.014 -4.152 2.208
Cu -2.036 -6.555 0.367
Cu -4.838 -4.443 -2.026
Rh -0.809 -1.031 0.037
Rh -6.858 -8.740 0.317
```

DFT formation energy: -3.01 eV/f.u.



Entry from the Alexandria database: a geometry-optimized BaNpNb2S8 structure (PBE-GGA).

```
12
Lattice="-2.869 0.343 -5.720 -3.152 -5.078 -2.314 -9.652 1.341 1.331" Properties=species:S:1:pos:R:3 pbc="T T T"
Ba -7.837 -1.696 -3.351
Np 0.000 0.000 0.000
Nb -3.893 -0.858 -1.689
Nb -11.780 -2.535 -5.014
S -5.763 -0.144 -0.708
S -4.411 -0.988 -3.942
S -9.911 -3.249 -5.994
S -6.325 -2.571 -6.439
S -9.348 -0.821 -0.263
S -5.458 -4.324 -3.510
S -10.216 0.931 -3.193
S -11.263 -2.404 -2.761
```

formation energy (no corrections): -1.0574 eV/atom



Entry from the Alexandria database: a geometry-optimized Li2SiAs structure (PBE-GGA).

```
4
Lattice="-0.465 -1.943 -2.862 -1.863 -2.292 1.859 -4.359 2.656 -1.094" Properties=species:S:1:pos:R:3 pbc="T T T"
As -4.349 -0.177 -1.301
Li -4.349 2.650 -1.092
Li -2.266 -1.446 -0.778
Si -2.262 1.378 -0.568
```

formation energy (no corrections): -0.1760 eV/atom
distance to the lowest polymorph of the same formula: 120 meV/atom



Entry from the Alexandria database: a geometry-optimized ScCrP2 structure (PBE-GGA).

```
4
Lattice="6.391 -0.009 0.014 4.785 4.236 -0.014 -5.525 -2.280 2.263" Properties=species:S:1:pos:R:3 pbc="T T T"
Cr 1.929 1.848 1.124
P 0.683 0.258 0.000
P 3.579 0.045 1.139
Sc 5.047 1.909 0.000
```

distance to the lowest polymorph of the same formula: 168 meV/atom
DFT formation energy: -2.78 eV/f.u.



Entry from the Alexandria database: a geometry-optimized Na3AgF structure (PBE-GGA).

```
5
Lattice="5.573 0.000 0.000 0.000 5.573 0.000 0.000 0.000 5.573" Properties=species:S:1:pos:R:3 pbc="T T T"
Na 0.000 2.787 0.000
Na 0.000 0.000 2.787
Na 2.787 0.000 0.000
Ag 0.000 0.000 0.000
F 2.787 2.787 2.787
```

formation energy (no corrections): -0.3679 eV/atom
distance to the lowest polymorph of the same formula: 644 meV/atom



Entry from the Alexandria database: a geometry-optimized BeAgN structure (PBE-GGA).

```
6
Lattice="3.026 0.000 0.000 0.000 3.026 0.000 0.000 0.000 7.013" Properties=species:S:1:pos:R:3 pbc="T T T"
Be 0.000 0.000 3.506
Be 1.513 1.513 3.506
Ag 0.000 1.513 6.016
Ag 1.513 0.000 0.997
N 0.000 1.513 2.663
N 1.513 0.000 4.349
```

formation energy (no corrections): -0.0972 eV/atom



Entry from the Alexandria database: a geometry-optimized NbTeNF2 structure (PBE-GGA).

```
5
Lattice="4.196 0.000 0.000 0.000 4.196 0.000 0.000 0.000 4.244" Properties=species:S:1:pos:R:3 pbc="T T T"
N 0.000 0.000 2.122
Nb 0.000 0.000 0.000
Te 2.098 2.098 2.122
F 0.000 2.098 0.000
F 2.098 0.000 0.000
```

formation energy (no corrections): -0.8701 eV/atom
distance to the lowest polymorph of the same formula: 0 meV/atom



no.,density (g/cm3),magnetization (μB/f.u.)
1,4.0,0.00
2,12.5,1.87
3,8.0,8.50
4,5.0,0.00
5,1.8,0.00
6,11.0,0.92
7,2.7,4.00
8,7.5,0.00
9,6.2,0.00
10,3.8,1.61
11,12.0,0.00
12,9.3,0.00
13,4.2,3.00
14,3.1,0.00
15,4.3,0.87
16,1.9,0.00
17,6.8,0.00
18,6.1,0.00